Version 1
An optimized crystal structure of Dy3Er2Lu2Te2Ir2, computed with PBE-GGA.

Structure (POSCAR):
```
Dy3Er2Lu2Te2Ir2
1.0
-1.9550 7.7994 4.7151
1.9550 -7.7994 4.7151
1.9550 7.7994 -4.7151
Dy Er Lu Te Ir
3 2 2 2 2
direct
0.0000 0.0000 0.0000
0.4488 0.5801 0.8688
0.7113 0.5801 0.1312
0.0559 0.3704 0.6855
0.6849 0.3704 0.3145
0.0808 0.7284 0.3525
0.3759 0.7284 0.6475
0.3325 0.3325 0.0000
0.7359 0.2359 0.5000
0.3081 0.0719 0.2362
0.8357 0.0719 0.7638
```

- Calculated volume: 288 Å³ per cell
- Total magnetization: 0.0016 μB/atom


Version 2
An optimized crystal structure of Dy3Er2Lu2Te2Ir2, computed with PBE-GGA.

Structure (POSCAR):
```
Dy3Er2Lu2Te2Ir2
1.0
-1.9630 7.7939 4.7012
1.9630 -7.7939 4.7012
1.9630 7.7939 -4.7012
Dy Er Lu Te Ir
3 2 2 2 2
direct
0.0000 0.0000 0.0000
0.4511 0.5827 0.8684
0.7142 0.5827 0.1316
0.0838 0.7314 0.3524
0.3790 0.7314 0.6476
0.0575 0.3719 0.6857
0.6862 0.3719 0.3143
0.3347 0.3347 0.0000
0.7382 0.2382 0.5000
0.3071 0.0703 0.2368
0.8335 0.0703 0.7632
```

- Calculated volume: 288 Å³ per cell
- Total magnetization: 0.0014 μB/atom


Version 3
An optimized crystal structure of Dy3Er2Lu2Te2Ir2, computed with PBE-GGA.

Structure (POSCAR):
```
Dy3Er2Lu2Te2Ir2
1.0
-1.9553 7.8092 4.7101
1.9553 -7.8092 4.7101
1.9553 7.8092 -4.7101
Dy Er Lu Te Ir
3 2 2 2 2
direct
0.0000 0.0000 0.0000
0.0553 0.3704 0.6849
0.6855 0.3704 0.3151
0.4491 0.5807 0.8683
0.7124 0.5807 0.1317
0.0825 0.7294 0.3531
0.3764 0.7294 0.6469
0.3355 0.3355 0.0000
0.7336 0.2336 0.5000
0.3097 0.0722 0.2374
0.8348 0.0722 0.7625
```

- Calculated volume: 288 Å³ per cell
- Total magnetization: 0.0023 μB/atom


Which is the most stable structure? version 2 is the most stable.